[1]
## Be2SiAg (GGA-PBE)

Data for a geometry-optimized Be2SiAg structure.

abc: 2.6971 2.6972 7.0222
angles: 90.00 90.00 90.00
With the nearest neighbours (Å) after each atom.
Positions (direct):
Si  0.0000  0.0000  0.4348  4 Be 2.44, 4 Si 2.70
Be  0.0000  0.0000  0.0441  4 Be 2.27
Ag  0.5000  0.5000  0.8022  4 Be 2.55, 4 Ag 2.70
Be  0.5000  0.5000  0.2189  4 Be 2.27, 4 Si 2.44

Values from the calculation:
formation energy (no corrections) = 1.36 eV per formula unit
space group = P4mm, No. 99
DOS at the Fermi energy = 0.2 states/eV/cell
DFT total energy = -3.591 eV/atom

=====

[2]
## Be2SiAg (GGA-PBE)

Data for a geometry-optimized Be2SiAg structure.

abc: 3.9080 3.9080 7.9977
angles: 75.86 75.86 90.00
With the nearest neighbours (Å) after each atom.
Positions (direct):
Ag  0.0000  0.0000  0.0000  4 Be 2.51, 4 Si 2.76
Be  0.2220  0.6250  0.2500  2 Si 2.20, 2 Be 2.29
Be  0.3750  0.4720  0.7500  2 Si 2.20, 2 Be 2.29
Ag  0.7500  0.2500  0.5000  4 Be 2.51, 4 Si 2.76
Si  0.5000  0.5000  0.0000  4 Be 2.20
Be  0.8750  0.7780  0.7500  2 Si 2.20, 2 Be 2.29
Be  0.5280  0.1250  0.2500  2 Si 2.20, 2 Be 2.29
Si  0.2500  0.7500  0.5000  4 Be 2.20

Values from the calculation:
formation energy (no corrections) = 1.90 eV per formula unit
space group = I-42d, No. 122
DOS at the Fermi energy = 2.8 states/eV/cell
DFT total energy = -3.457 eV/atom

=====

[3]
## BeSi2Ag (GGA-PBE)

Data for a geometry-optimized BeSi2Ag structure.

abc: 2.7975 4.2666 4.9200
angles: 90.00 90.00 90.00
With the nearest neighbours (Å) after each atom.
Positions (direct):
Be  0.0000  0.5000  0.5000  4 Ag 2.55, 2 Be 2.80, 4 Si 2.83
Si  0.0000  0.0000  0.0000  6 Si 2.55-2.80, 4 Ag 2.83
Si  0.5000  0.5000  0.0000  6 Si 2.55-2.80, 4 Be 2.83
Ag  0.5000  0.0000  0.5000  4 Be 2.55, 2 Ag 2.80, 4 Si 2.83

Values from the calculation:
formation energy (no corrections) = 2.05 eV per formula unit
space group = Pmmm, No. 47
DOS at the Fermi energy = 1.0 states/eV/cell
DFT total energy = -3.844 eV/atom

=====

> Which of these has the lowest formation energy (no corrections)?

number 1

=====

> Which formula does entry 1 have?

Be2SiAg